a) VASP calculation (PBE) on crystalline CsCaSbTe2 at its relaxed geometry.

Values from the calculation:
Crystal system   tetragonal
Density of states at the Fermi level   5.40 states/eV/cell

a = 6.0250 Å, b = 6.0250 Å, c = 5.9127 Å
α = 90.00°, β = 90.00°, γ = 90.00°
Closest atoms and distances in Å follow each position.
Element x y z (fractional)
Cs 0.5000 0.5000 0.5000  8 Te 4.22, 4 Sb 4.26
Sb 0.0000 0.0000 0.5000  2 Ca 2.96
Ca 0.0000 0.0000 0.0000  2 Sb 2.96, 4 Te 3.01
Te 0.5000 0.0000 0.0000  2 Ca 3.01
Te 0.0000 0.5000 0.0000  2 Ca 3.01

***

b) VASP calculation (PBE) on crystalline CsCaSbTe2 at its relaxed geometry.

Values from the calculation:
Crystal system   tetragonal
Density of states at the Fermi level   7.83 states/eV/cell

a = 6.2909 Å, b = 6.2909 Å, c = 6.1024 Å
α = 90.00°, β = 90.00°, γ = 90.00°
Closest atoms and distances in Å follow each position.
Element x y z (fractional)
Cs 0.0000 0.0000 0.0000  2 Sb 3.05, 4 Te 3.15
Te 0.0000 0.5000 0.0000  2 Cs 3.15
Ca 0.5000 0.5000 0.5000  8 Te 4.38, 4 Sb 4.45
Te 0.5000 0.0000 0.0000  2 Cs 3.15
Sb 0.0000 0.0000 0.5000  2 Cs 3.05

***

Most favorable first, least favorable last: a), b)

***

a) VASP calculation (PBE) on crystalline CsCa2Se2 at its relaxed geometry.

Values from the calculation:
Crystal system   tetragonal
Density of states at the Fermi level   5.46 states/eV/cell

a = 8.7775 Å, b = 8.7775 Å, c = 3.9299 Å
α = 90.00°, β = 90.00°, γ = 90.00°
Closest atoms and distances in Å follow each position.
Element x y z (fractional)
Ca 0.6429 0.1429 0.5000  6 Se 3.20-3.29, 1 Ca 3.55
Se 0.8558 0.3558 0.0000  6 Ca 3.20-3.29, 2 Cs 3.37
Se 0.3558 0.1442 0.0000  6 Ca 3.20-3.29, 2 Cs 3.37
Ca 0.3571 0.8571 0.5000  6 Se 3.20-3.29, 1 Ca 3.55
Cs 0.5000 0.5000 0.0000  4 Se 3.37
Ca 0.8571 0.6429 0.5000  6 Se 3.20-3.29, 1 Ca 3.55
Cs 0.0000 0.0000 0.0000  4 Se 3.37
Se 0.6442 0.8558 0.0000  6 Ca 3.20-3.29, 2 Cs 3.37
Ca 0.1429 0.3571 0.5000  6 Se 3.20-3.29, 1 Ca 3.55
Se 0.1442 0.6442 0.0000  6 Ca 3.20-3.29, 2 Cs 3.37

***

b) VASP calculation (PBE) on crystalline CsCa2Se2 at its relaxed geometry.

Values from the calculation:
Crystal system   tetragonal
Density of states at the Fermi level   0.71 states/eV/cell

a = 5.5676 Å, b = 5.5676 Å, c = 7.2915 Å
α = 67.56°, β = 67.56°, γ = 90.00°
Closest atoms and distances in Å follow each position.
Element x y z (fractional)
Se 0.7500 0.2500 0.5000  4 Ca 2.91
Cs 0.0000 0.0000 0.0000  2 Ca 3.90, 8 Se 4.14
Ca 0.6822 0.6822 0.6357  4 Se 2.91
Ca 0.3178 0.3178 0.3643  4 Se 2.91
Se 0.2500 0.7500 0.5000  4 Ca 2.91

***

Most favorable first, least favorable last: b), a)

***

a) VASP calculation (PBE) on crystalline CsCaTe2Se at its relaxed geometry.

Values from the calculation:
Crystal system   tetragonal
Density of states at the Fermi level   7.08 states/eV/cell

a = 5.7556 Å, b = 10.2403 Å, c = 5.7556 Å
α = 90.00°, β = 90.00°, γ = 90.00°
Closest atoms and distances in Å follow each position.
Element x y z (fractional)
Te 0.0000 0.0000 0.5000  2 Ca 2.88
Se 0.5000 0.5000 0.5000  4 Cs 4.07
Te 0.5000 0.0000 0.0000  2 Ca 2.88
Ca 0.0000 0.0000 0.0000  4 Te 2.88
Cs 0.0000 0.5000 0.0000  4 Se 4.07

***

b) VASP calculation (PBE) on crystalline CsCaTe2Se at its relaxed geometry.

Values from the calculation:
Crystal system   tetragonal
Density of states at the Fermi level   2.91 states/eV/cell

a = 5.7855 Å, b = 6.0940 Å, c = 5.7855 Å
α = 90.00°, β = 90.00°, γ = 90.00°
Closest atoms and distances in Å follow each position.
Element x y z (fractional)
Te 0.5000 0.0000 0.0000  2 Se 2.89
Ca 0.5000 0.5000 0.5000  4 Cs 4.09, 8 Te 4.20
Cs 0.0000 0.5000 0.0000  2 Se 3.05
Se 0.0000 0.0000 0.0000  4 Te 2.89, 2 Cs 3.05
Te 0.0000 0.0000 0.5000  2 Se 2.89

***

Most favorable first, least favorable last: a), b)

***

a) VASP calculation (PBE) on crystalline CsCaTeSe at its relaxed geometry.

Values from the calculation:
Crystal system   monoclinic
Density of states at the Fermi level   0.33 states/eV/cell

a = 5.5983 Å, b = 5.5654 Å, c = 5.9981 Å
α = 90.00°, β = 104.75°, γ = 90.00°
Closest atoms and distances in Å follow each position.
Element x y z (fractional)
Ca 0.0000 0.5000 0.0000  2 Se 2.80, 2 Te 3.00
Cs 0.5000 0.0000 0.5000  4 Te 3.95, 4 Se 4.09
Se 0.5000 0.5000 0.0000  2 Ca 2.80
Te 0.0000 0.5000 0.5000  2 Ca 3.00

***

b) VASP calculation (PBE) on crystalline CsCaTeSe at its relaxed geometry.

Values from the calculation:
Crystal system   trigonal
Density of states at the Fermi level   3.55 states/eV/cell

a = 4.6822 Å, b = 4.6822 Å, c = 25.2289 Å
α = 90.00°, β = 90.00°, γ = 120.00°
Closest atoms and distances in Å follow each position.
Element x y z (fractional)
Cs 0.0000 0.0000 0.9456  3 Se 3.77, 3 Te 3.79, 1 Ca 4.05
Cs 0.3333 0.6667 0.6122  3 Se 3.77, 3 Te 3.79, 1 Ca 4.05
Te 0.6667 0.3333 0.8404  1 Se 3.13, 3 Ca 3.20
Se 0.3333 0.6667 0.0495  3 Ca 3.06, 1 Te 3.13
Se 0.6667 0.3333 0.7162  3 Ca 3.06, 1 Te 3.13
Cs 0.6667 0.3333 0.2789  3 Se 3.77, 3 Te 3.79, 1 Ca 4.05
Te 0.3333 0.6667 0.1737  1 Se 3.13, 3 Ca 3.20
Ca 0.0000 0.0000 0.1060  3 Se 3.06, 3 Te 3.20
Se 0.0000 0.0000 0.3829  3 Ca 3.06, 1 Te 3.13
Ca 0.3333 0.6667 0.7727  3 Se 3.06, 3 Te 3.20
Ca 0.6667 0.3333 0.4393  3 Se 3.06, 3 Te 3.20
Te 0.0000 0.0000 0.5070  1 Se 3.13, 3 Ca 3.20

***

Most favorable first, least favorable last: b), a)

***

a) VASP calculation (PBE) on crystalline CsCaTeSe at its relaxed geometry.

Values from the calculation:
Crystal system   monoclinic
Density of states at the Fermi level   4.77 states/eV/cell

a = 9.6954 Å, b = 3.7840 Å, c = 8.3523 Å
α = 90.00°, β = 108.88°, γ = 90.00°
Closest atoms and distances in Å follow each position.
Element x y z (fractional)
Te 0.9618 0.0000 0.1865  3 Ca 3.28-3.30
Cs 0.2811 0.5000 0.5129  3 Se 3.58-3.61, 2 Cs 3.78, 3 Te 3.82-3.89
Te 0.9618 0.5000 0.6865  3 Ca 3.28-3.30
Ca 0.7314 0.5000 0.2967  3 Se 2.93-3.03, 2 Te 3.28
Cs 0.2811 0.0000 0.0129  3 Se 3.58-3.61, 2 Cs 3.78, 3 Te 3.82-3.89
Se 0.5599 0.0000 0.4222  3 Ca 2.93-3.03
Ca 0.7314 0.0000 0.7967  3 Se 2.93-3.03, 2 Te 3.28
Se 0.5599 0.5000 0.9222  3 Ca 2.93-3.03

***

b) VASP calculation (PBE) on crystalline CsCaTeSe at its relaxed geometry.

Values from the calculation:
Crystal system   monoclinic
Density of states at the Fermi level   4.37 states/eV/cell

a = 9.7647 Å, b = 3.7392 Å, c = 8.4008 Å
α = 90.00°, β = 109.54°, γ = 90.00°
Closest atoms and distances in Å follow each position.
Element x y z (fractional)
Se 0.0324 0.0000 0.2693  3 Ca 2.95-3.05
Te 0.6306 0.5000 0.0043  3 Ca 3.26-3.28
Cs 0.3160 0.5000 0.5849  3 Se 3.60-3.64, 2 Cs 3.74, 3 Te 3.82-3.85
Ca 0.8572 0.5000 0.3932  3 Se 2.95-3.05, 3 Te 3.26-3.28
Se 0.0324 0.5000 0.7693  3 Ca 2.95-3.05
Cs 0.3160 0.0000 0.0849  3 Se 3.60-3.64, 2 Cs 3.74, 3 Te 3.82-3.85
Ca 0.8572 0.0000 0.8932  3 Se 2.95-3.05, 3 Te 3.26-3.28
Te 0.6306 0.0000 0.5043  3 Ca 3.26-3.28

***

c) VASP calculation (PBE) on crystalline CsCaTeSe at its relaxed geometry.

Values from the calculation:
Crystal system   monoclinic
Density of states at the Fermi level   2.70 states/eV/cell

a = 8.7788 Å, b = 4.6943 Å, c = 8.1227 Å
α = 90.00°, β = 107.90°, γ = 90.00°
Closest atoms and distances in Å follow each position.
Element x y z (fractional)
Se 0.7740 0.0000 0.2171  3 Ca 3.05, 1 Te 3.13
Ca 0.6057 0.5000 0.3279  3 Se 3.05, 3 Te 3.21
Se 0.7740 0.5000 0.7171  3 Ca 3.05, 1 Te 3.13
Te 0.3993 0.5000 0.5930  1 Se 3.13, 3 Ca 3.21
Te 0.3993 0.0000 0.0930  1 Se 3.13, 3 Ca 3.21
Cs 0.0707 0.0000 0.6495  3 Se 3.67, 3 Te 3.85-3.86
Cs 0.0707 0.5000 0.1495  3 Se 3.67, 3 Te 3.85-3.86
Ca 0.6057 0.0000 0.8279  3 Se 3.05, 3 Te 3.21

***

d) VASP calculation (PBE) on crystalline CsCaTeSe at its relaxed geometry.

Values from the calculation:
Crystal system   orthorhombic
Density of states at the Fermi level   3.59 states/eV/cell

a = 3.8290 Å, b = 3.9053 Å, c = 18.5690 Å
α = 90.00°, β = 90.00°, γ = 90.00°
Closest atoms and distances in Å follow each position.
Element x y z (fractional)
Cs 0.5000 0.5000 0.8036  1 Ca 3.74, 4 Se 3.76, 4 Cs 3.83-3.91, 4 Te 3.94
Te 0.0000 0.5000 0.1511  2 Ca 3.32
Se 0.0000 0.0000 0.9428  4 Ca 2.97
Te 0.0000 0.0000 0.6511  2 Ca 3.32
Cs 0.5000 0.0000 0.3036  1 Ca 3.74, 4 Se 3.76, 4 Cs 3.83-3.91, 4 Te 3.94
Se 0.0000 0.5000 0.4428  4 Ca 2.97
Ca 0.5000 0.5000 0.0050  4 Se 2.97, 2 Te 3.32
Ca 0.5000 0.0000 0.5050  4 Se 2.97, 2 Te 3.32

***

Most favorable first, least favorable last: d), a), b), c)